Record 1
Density functional theory data (PBE) for a geometry-optimized Pu2Se2N structure.

Values from the calculation:
The space group is No. 36. As for the density of states at the Fermi level: 26.8 states/eV per cell. The calculation puts the raw formation energy at -1.377 eV/atom.

POSCAR file:
```
Pu2Se2N
1.0
-2.9701 -0.8708 2.4580
2.2454 -6.9270 0.2593
5.8537 2.0707 4.6291
Pu Se N
4 4 2
direct
0.5549 0.5965 0.1098 Pu
0.1548 0.9722 0.3096 Pu
0.8452 0.4722 0.6904 Pu
0.4451 0.0965 0.8902 Pu
0.0479 0.2896 0.0957 Se
0.2079 0.5988 0.4158 Se
0.7921 0.0988 0.5842 Se
0.9521 0.7896 0.9043 Se
0.5946 0.9084 0.1892 N
0.4054 0.4084 0.8108 N
```



Record 2
Density functional theory data (PBE) for a geometry-optimized TiGe3H structure.

Values from the calculation:
The space group is No. 221. The total DFT energy (no corrections) comes out at -23.95 eV/cell. As for the density of states at the Fermi level: 3.8 states/eV per cell.

POSCAR file:
```
TiGe3H
1.0
-2.0673 -0.9986 3.4898
-0.0330 -4.0107 -1.1672
3.6297 -0.6052 1.9770
H Ge Ti
1 3 1
direct
0.0000 0.0000 0.0000 H
0.0000 0.5000 0.0000 Ge
0.0000 0.0000 0.5000 Ge
0.5000 0.0000 0.0000 Ge
0.5000 0.5000 0.5000 Ti
```



Record 3
Density functional theory data (PBE) for a geometry-optimized KRb2PtN structure.

Values from the calculation:
The space group is No. 123. As for the density of states at the Fermi level: 2.8 states/eV per cell. The calculation puts the raw formation energy at 0.109 eV/atom.

POSCAR file:
```
KRb2PtN
1.0
-1.6178 3.2492 -5.6002
-6.3735 0.2162 1.9666
0.6530 3.3398 1.7491
K Rb Pt N
1 2 1 1
direct
0.5000 0.5000 0.5000 K
0.0000 0.5000 0.0000 Rb
0.5000 0.0000 0.0000 Rb
0.0000 0.0000 0.5000 Pt
0.0000 0.0000 0.0000 N
```



Record 4
Density functional theory data (PBE) for a geometry-optimized ScAu2Cl structure.

Values from the calculation:
The space group is No. 71. As for the density of states at the Fermi level: 2.3 states/eV per cell. The calculation puts the raw formation energy at -0.652 eV/atom.

POSCAR file:
```
ScAu2Cl
1.0
6.5485 0.0368 0.0068
4.2761 4.9598 -0.0068
-5.0085 -3.3731 2.5341
Au Cl Sc
2 1 1
direct
0.0414 0.0414 0.0000 Au
0.4586 0.4586 0.0000 Au
0.7500 0.2500 0.5000 Cl
0.2500 0.7500 0.5000 Sc
```



Question: What is the formula in the second record?
Answer: TiGe3H



Question: Which of these has the lowest density of states at the Fermi level?
Answer: ScAu2Cl



Copy entry 4 word for word.
Density functional theory data (PBE) for a geometry-optimized ScAu2Cl structure.

Values from the calculation:
The space group is No. 71. As for the density of states at the Fermi level: 2.3 states/eV per cell. The calculation puts the raw formation energy at -0.652 eV/atom.

POSCAR file:
```
ScAu2Cl
1.0
6.5485 0.0368 0.0068
4.2761 4.9598 -0.0068
-5.0085 -3.3731 2.5341
Au Cl Sc
2 1 1
direct
0.0414 0.0414 0.0000 Au
0.4586 0.4586 0.0000 Au
0.7500 0.2500 0.5000 Cl
0.2500 0.7500 0.5000 Sc
```